# Na3VCl8

Na3VCl8 after structural relaxation (GGA-PBE, Alexandria).

Properties
- N(E_F): 0.468 states/eV/atom
- Symmetry: C222
- Magnetization: 0.413 μB/f.u.
- Uncorrected energy: -3.63 eV/atom

Cell: 6.9425 6.9425 8.1225 Å, 90.00 90.00 114.10°
Closest atoms and distances in Å follow each position.
Positions (direct):
Na (0.0000, 0.0000, 0.0000)  6 Cl 2.66-2.94
Na (0.0000, 0.5000, 0.7700)  6 Cl 2.67-2.96
Na (0.5000, 0.0000, 0.2300)  6 Cl 2.67-2.96
V (0.0000, 0.0000, 0.5000)  6 Cl 2.29-2.30
Cl (0.1971, 0.8029, 0.5000)  1 V 2.30
Cl (0.2114, 0.2206, 0.6983)  1 V 2.29
Cl (0.2206, 0.2114, 0.3017)  1 V 2.29
Cl (0.2280, 0.7720, 0.0000)  3 Na 2.66-2.67
Cl (0.7720, 0.2280, 0.0000)  3 Na 2.66-2.67
Cl (0.7794, 0.7886, 0.3017)  1 V 2.29
Cl (0.7886, 0.7794, 0.6983)  1 V 2.29
Cl (0.8029, 0.1971, 0.5000)  1 V 2.30